(A)
A geometry-optimized Si3MoPd structure. Source: the Alexandria database, functional GGA-PBE.

The density of states at the Fermi level is 4.69 states/eV/cell.

It has space group Pm-3m (No. 221), with a = 4.649 Å, b = 4.649 Å, c = 4.649 Å, α = 90.00°, β = 90.00° and γ = 90.00°. Symmetry generates all atoms from Si at (0.000, 0.000, 0.500), Mo at (0.500, 0.500, 0.500) and Pd at (0.000, 0.000, 0.000).

---

(B)
A geometry-optimized Si3MoPd structure. Source: the Alexandria database, functional GGA-PBE.

The density of states at the Fermi level is 0.66 states/eV/cell.

It has space group Pm-3m (No. 221), with a = 4.680 Å, b = 4.680 Å, c = 4.680 Å, α = 90.00°, β = 90.00° and γ = 90.00°. Symmetry generates all atoms from Si at (0.000, 0.000, 0.500), Mo at (0.000, 0.000, 0.000) and Pd at (0.500, 0.500, 0.500).

---

What should be chosen as the most stable of them? Choose (B).

---

(A)
A geometry-optimized SnMoPd3 structure. Source: the Alexandria database, functional GGA-PBE.

The density of states at the Fermi level is 4.69 states/eV/cell.

It has space group Pm-3m (No. 221), with a = 4.842 Å, b = 4.842 Å, c = 4.842 Å, α = 90.00°, β = 90.00° and γ = 90.00°. Symmetry generates all atoms from Sn at (0.000, 0.000, 0.000), Mo at (0.500, 0.500, 0.500) and Pd at (0.000, 0.500, 0.500).

---

(B)
A geometry-optimized SnMoPd3 structure. Source: the Alexandria database, functional GGA-PBE.

The density of states at the Fermi level is 2.90 states/eV/cell.

It has space group Pm-3m (No. 221), with a = 4.893 Å, b = 4.893 Å, c = 4.893 Å, α = 90.00°, β = 90.00° and γ = 90.00°. Symmetry generates all atoms from Sn at (0.000, 0.000, 0.000), Mo at (0.500, 0.500, 0.500) and Pd at (0.000, 0.000, 0.500).

---

What should be chosen as the most stable of them? Choose (A).

---

(A)
A geometry-optimized Sn2MoPd structure. Source: the Alexandria database, functional GGA-PBE.

The density of states at the Fermi level is 0.90 states/eV/cell.

It has space group I-42d (No. 122), with a = 7.302 Å, b = 7.302 Å, c = 6.167 Å, α = 90.00°, β = 90.00° and γ = 90.00°. Symmetry generates all atoms from Sn at (0.234, 0.250, 0.125), Mo at (0.000, 0.000, 0.500) and Pd at (0.000, 0.000, 0.000).

---

(B)
A geometry-optimized Sn2MoPd structure. Source: the Alexandria database, functional GGA-PBE.

The density of states at the Fermi level is 5.24 states/eV/cell.

It has space group Fm-3m (No. 225), with a = 6.669 Å, b = 6.669 Å, c = 6.669 Å, α = 90.00°, β = 90.00° and γ = 90.00°. Symmetry generates all atoms from Sn at (0.250, 0.250, 0.250), Mo at (0.000, 0.000, 0.000) and Pd at (0.000, 0.000, 0.500).

---

What should be chosen as the most stable of them? Choose (B).

---

(A)
A geometry-optimized Sn2MoPd2 structure. Source: the Alexandria database, functional GGA-PBE.

The density of states at the Fermi level is 5.63 states/eV/cell.

It has space group P4/mbm (No. 127), with a = 7.733 Å, b = 7.733 Å, c = 3.051 Å, α = 90.00°, β = 90.00° and γ = 90.00°. Symmetry generates all atoms from Sn at (0.157, 0.343, 0.000), Mo at (0.000, 0.000, 0.000) and Pd at (0.141, 0.641, 0.500).

---

(B)
A geometry-optimized Sn2MoPd2 structure. Source: the Alexandria database, functional GGA-PBE.

The density of states at the Fermi level is 1.73 states/eV/cell.

It has space group I4/mmm (No. 139), with a = 3.800 Å, b = 3.800 Å, c = 13.245 Å, α = 90.00°, β = 90.00° and γ = 90.00°. Symmetry generates all atoms from Sn at (0.000, 0.000, 0.106), Mo at (0.000, 0.000, 0.500) and Pd at (0.000, 0.500, 0.250).

---

What should be chosen as the most stable of them? Choose (A).

---

(A)
A geometry-optimized SrMoPd2 structure. Source: the Alexandria database, functional GGA-PBE.

The density of states at the Fermi level is 16.02 states/eV/cell.

It has space group Fm-3m (No. 225), with a = 6.885 Å, b = 6.885 Å, c = 6.885 Å, α = 90.00°, β = 90.00° and γ = 90.00°. Symmetry generates all atoms from Sr at (0.000, 0.000, 0.000), Mo at (0.000, 0.000, 0.500) and Pd at (0.250, 0.250, 0.250).

---

(B)
A geometry-optimized SrMoPd2 structure. Source: the Alexandria database, functional GGA-PBE.

The density of states at the Fermi level is 15.74 states/eV/cell.

It has space group I-42d (No. 122), with a = 5.202 Å, b = 5.202 Å, c = 16.529 Å, α = 90.00°, β = 90.00° and γ = 90.00°. Symmetry generates all atoms from Sr at (0.000, 0.000, 0.000), Mo at (0.000, 0.000, 0.500) and Pd at (0.040, 0.250, 0.625).

---

What should be chosen as the most stable of them? Choose (A).

---

(A)
A geometry-optimized SrMoPd3 structure. Source: the Alexandria database, functional GGA-PBE.

The density of states at the Fermi level is 5.12 states/eV/cell.

It has space group Pm-3m (No. 221), with a = 4.915 Å, b = 4.915 Å, c = 4.915 Å, α = 90.00°, β = 90.00° and γ = 90.00°. Symmetry generates all atoms from Sr at (0.000, 0.000, 0.000), Mo at (0.500, 0.500, 0.500) and Pd at (0.000, 0.500, 0.500).

---

(B)
A geometry-optimized SrMoPd3 structure. Source: the Alexandria database, functional GGA-PBE.

The density of states at the Fermi level is 23.46 states/eV/cell.

It has space group Pm-3m (No. 221), with a = 4.987 Å, b = 4.987 Å, c = 4.987 Å, α = 90.00°, β = 90.00° and γ = 90.00°. Symmetry generates all atoms from Sr at (0.000, 0.000, 0.000), Mo at (0.500, 0.500, 0.500) and Pd at (0.000, 0.000, 0.500).

---

What should be chosen as the most stable of them? Choose (A).

---

(A)
A geometry-optimized TaMoPd2 structure. Source: the Alexandria database, functional GGA-PBE.

The density of states at the Fermi level is 21.88 states/eV/cell.

It has space group Fm-3m (No. 225), with a = 6.395 Å, b = 6.395 Å, c = 6.395 Å, α = 90.00°, β = 90.00° and γ = 90.00°. Symmetry generates all atoms from Ta at (0.000, 0.000, 0.000), Mo at (0.000, 0.000, 0.500) and Pd at (0.250, 0.250, 0.250).

---

(B)
A geometry-optimized TaMoPd2 structure. Source: the Alexandria database, functional GGA-PBE.

The density of states at the Fermi level is 12.47 states/eV/cell.

It has space group I-42d (No. 122), with a = 7.194 Å, b = 7.194 Å, c = 5.338 Å, α = 90.00°, β = 90.00° and γ = 90.00°. Symmetry generates all atoms from Ta at (0.000, 0.000, 0.000), Mo at (0.000, 0.000, 0.500) and Pd at (0.246, 0.250, 0.125).

---

What should be chosen as the most stable of them? Choose (A).

---

(A)
A geometry-optimized Ta3MoPd structure. Source: the Alexandria database, functional GGA-PBE.

The density of states at the Fermi level is 6.39 states/eV/cell.

It has space group Pm-3m (No. 221), with a = 4.767 Å, b = 4.767 Å, c = 4.767 Å, α = 90.00°, β = 90.00° and γ = 90.00°. Symmetry generates all atoms from Ta at (0.000, 0.000, 0.500), Mo at (0.500, 0.500, 0.500) and Pd at (0.000, 0.000, 0.000).

---

(B)
A geometry-optimized Ta3MoPd structure. Source: the Alexandria database, functional GGA-PBE.

The density of states at the Fermi level is 7.75 states/eV/cell.

It has space group Pm-3m (No. 221), with a = 4.786 Å, b = 4.786 Å, c = 4.786 Å, α = 90.00°, β = 90.00° and γ = 90.00°. Symmetry generates all atoms from Ta at (0.000, 0.000, 0.500), Mo at (0.000, 0.000, 0.000) and Pd at (0.500, 0.500, 0.500).

---

What should be chosen as the most stable of them? Choose (B).

---

(A)
A geometry-optimized TaMo3Pd structure. Source: the Alexandria database, functional GGA-PBE.

The density of states at the Fermi level is 5.83 states/eV/cell.

It has space group Pm-3m (No. 221), with a = 4.714 Å, b = 4.714 Å, c = 4.714 Å, α = 90.00°, β = 90.00° and γ = 90.00°. Symmetry generates all atoms from Ta at (0.000, 0.000, 0.000), Mo at (0.000, 0.000, 0.500) and Pd at (0.500, 0.500, 0.500).

---

(B)
A geometry-optimized TaMo3Pd structure. Source: the Alexandria database, functional GGA-PBE.

The density of states at the Fermi level is 8.56 states/eV/cell.

It has space group Pm-3m (No. 221), with a = 4.673 Å, b = 4.673 Å, c = 4.673 Å, α = 90.00°, β = 90.00° and γ = 90.00°. Symmetry generates all atoms from Ta at (0.000, 0.000, 0.000), Mo at (0.000, 0.500, 0.500) and Pd at (0.500, 0.500, 0.500).

---

What should be chosen as the most stable of them? Choose (A).

---

(A)
A geometry-optimized TaMoPd structure. Source: the Alexandria database, functional GGA-PBE.

The density of states at the Fermi level is 2.44 states/eV/cell.

It has space group P3m1 (No. 156), with a = 4.6385 Å, b = 4.6385 Å, c = 2.6622 Å, α = 90.00°, β = 90.00° and γ = 120.00°. Symmetry generates all atoms from Ta at (0.0000, 0.0000, 0.0000), Mo at (0.3333, 0.6667, 0.5028) and Pd at (0.6667, 0.3333, 0.0037).

---

(B)
A geometry-optimized TaMoPd structure. Source: the Alexandria database, functional GGA-PBE.

The density of states at the Fermi level is 15.77 states/eV/cell.

It has space group R-3m (No. 166, hexagonal axes), with a = 4.3824 Å, b = 4.3824 Å, c = 19.5681 Å, α = 90.00°, β = 90.00° and γ = 120.00°. Symmetry generates all atoms from Ta at (0.0000, 0.0000, 0.0741), Mo at (0.0000, 0.0000, 0.3549) and Pd at (0.0000, 0.0000, 0.2110).

---

What should be chosen as the most stable of them? Choose (A).

---

(A)
A geometry-optimized Te2MoPd structure. Source: the Alexandria database, functional GGA-PBE.

The density of states at the Fermi level is 5.07 states/eV/cell.

It has space group R-3m (No. 166, hexagonal axes), with a = 3.4619 Å, b = 3.4619 Å, c = 26.6127 Å, α = 90.00°, β = 90.00° and γ = 120.00°. Symmetry generates all atoms from Te at (0.0000, 0.0000, 0.0965), Mo at (0.0000, 0.0000, 0.5000) and Pd at (0.0000, 0.0000, 0.0000).

---

(B)
A geometry-optimized Te2MoPd structure. Source: the Alexandria database, functional GGA-PBE.

The density of states at the Fermi level is 9.87 states/eV/cell.

It has space group Fm-3m (No. 225), with a = 6.858 Å, b = 6.858 Å, c = 6.858 Å, α = 90.00°, β = 90.00° and γ = 90.00°. Symmetry generates all atoms from Te at (0.250, 0.250, 0.250), Mo at (0.000, 0.000, 0.000) and Pd at (0.000, 0.000, 0.500).

---

What should be chosen as the most stable of them? Choose (A).

---

(A)
A geometry-optimized Te2MoPd structure. Source: the Alexandria database, functional GGA-PBE.

The density of states at the Fermi level is 15.59 states/eV/cell.

It has space group R-3m (No. 166, hexagonal axes), with a = 3.4312 Å, b = 3.4312 Å, c = 27.0917 Å, α = 90.00°, β = 90.00° and γ = 120.00°. Symmetry generates all atoms from Te at (0.0000, 0.0000, 0.0954), Mo at (0.0000, 0.0000, 0.0000) and Pd at (0.0000, 0.0000, 0.5000).

---

(B)
A geometry-optimized Te2MoPd structure. Source: the Alexandria database, functional GGA-PBE.

The density of states at the Fermi level is 13.59 states/eV/cell.

It has space group I-42d (No. 122), with a = 6.214 Å, b = 6.214 Å, c = 11.673 Å, α = 90.00°, β = 90.00° and γ = 90.00°. Symmetry generates all atoms from Te at (0.244, 0.250, 0.125), Mo at (0.000, 0.000, 0.000) and Pd at (0.000, 0.000, 0.500).

---

What should be chosen as the most stable of them? Choose (B).

---

(A)
A geometry-optimized TeMoPd3 structure. Source: the Alexandria database, functional GGA-PBE.

The density of states at the Fermi level is 5.87 states/eV/cell.

It has space group Pm-3m (No. 221), with a = 4.911 Å, b = 4.911 Å, c = 4.911 Å, α = 90.00°, β = 90.00° and γ = 90.00°. Symmetry generates all atoms from Te at (0.000, 0.000, 0.000), Mo at (0.500, 0.500, 0.500) and Pd at (0.000, 0.000, 0.500).

---

(B)
A geometry-optimized TeMoPd3 structure. Source: the Alexandria database, functional GGA-PBE.

The density of states at the Fermi level is 6.95 states/eV/cell.

It has space group Pm-3m (No. 221), with a = 4.839 Å, b = 4.839 Å, c = 4.839 Å, α = 90.00°, β = 90.00° and γ = 90.00°. Symmetry generates all atoms from Te at (0.000, 0.000, 0.000), Mo at (0.500, 0.500, 0.500) and Pd at (0.000, 0.500, 0.500).

---

What should be chosen as the most stable of them? Choose (A).